Compound: ThMg3Tl3
Source: Alexandria via LeMat-Bulk
Functional: GGA-PBE
Structure: optimized geometry

## Properties
energy of formation	4.0	eV/f.u.
VASP energy	-2.19	eV/atom
DOS(E_F)	5.63	states/eV/f.u.

Cell lengths 7.628, 7.628, 7.628 Å; angles 90.00, 90.00, 90.00 degrees
Positions (direct):
Th: 0.000 0.000 0.000
Th: 0.500 0.500 0.500
Mg: 0.000 0.250 0.500
Mg: 0.000 0.750 0.500
Mg: 0.250 0.500 0.000
Mg: 0.500 0.000 0.250
Mg: 0.500 0.000 0.750
Mg: 0.750 0.500 0.000
Tl: 0.000 0.500 0.250
Tl: 0.000 0.500 0.750
Tl: 0.250 0.000 0.500
Tl: 0.500 0.250 0.000
Tl: 0.500 0.750 0.000
Tl: 0.750 0.000 0.500